The following is a DFT calculation (PBE-GGA) of Pm12Ga6Tc after structural relaxation.

Energy of formation from the pure elements: -4.50 eV/f.u.
Volume: 552 Å³ per cell

abc: 8.2119 8.2119 8.2119
angles: 92.80 92.80 92.80
Last column: nearest neighbours and their distance in Å.
Sites, in units of the cell vectors:
Pm (0.1946, 0.4314, 0.5523)  4 Ga 3.07-3.20
Pm (0.8054, 0.5686, 0.4477)  4 Ga 3.07-3.20
Pm (0.5686, 0.4477, 0.8054)  4 Ga 3.07-3.20
Pm (0.6769, 0.0346, 0.9148)  1 Tc 2.74, 1 Ga 3.06
Pm (0.4314, 0.5523, 0.1946)  4 Ga 3.07-3.20
Pm (0.9148, 0.6769, 0.0346)  1 Tc 2.74, 1 Ga 3.06
Pm (0.9654, 0.0852, 0.3231)  1 Tc 2.74, 1 Ga 3.06
Pm (0.4477, 0.8054, 0.5686)  4 Ga 3.07-3.20
Pm (0.0346, 0.9148, 0.6769)  1 Tc 2.74, 1 Ga 3.06
Pm (0.0852, 0.3231, 0.9654)  1 Tc 2.74, 1 Ga 3.06
Pm (0.3231, 0.9654, 0.0852)  1 Tc 2.74, 1 Ga 3.06
Pm (0.5523, 0.1946, 0.4314)  4 Ga 3.07-3.20
Ga (0.2668, 0.6589, 0.8577)  8 Pm 3.06-3.30
Ga (0.8577, 0.2668, 0.6589)  8 Pm 3.06-3.30
Ga (0.7332, 0.3411, 0.1423)  8 Pm 3.06-3.30
Ga (0.6589, 0.8577, 0.2668)  8 Pm 3.06-3.30
Ga (0.1423, 0.7332, 0.3411)  8 Pm 3.06-3.30
Ga (0.3411, 0.1423, 0.7332)  8 Pm 3.06-3.30
Tc (0.0000, 0.0000, 0.0000)  6 Pm 2.74